Entry 1:
DFT (PBE) results for a relaxed structure of YBeSi.

```
3
Lattice="3.873 0.000 0.000 -1.937 3.354 0.000 0.000 0.000 4.045" Properties=species:S:1:pos:R:3 pbc="T T T"
Y 0.000 0.000 0.000
Be 1.937 1.118 2.022
Si 0.000 2.236 2.022
```

***

Entry 2:
DFT (PBE) results for a relaxed structure of YBeSi.

```
6
Lattice="-1.945 4.041 3.365 1.945 -4.041 3.365 1.945 4.041 -3.365" Properties=species:S:1:pos:R:3 pbc="T T T"
Y 0.000 0.000 0.000
Y 0.000 4.041 0.000
Be 1.945 2.020 1.205
Be 0.000 2.020 2.160
Si 1.945 2.020 -0.999
Si 0.000 2.020 4.364
```

***

Entry 3:
DFT (PBE) results for a relaxed structure of YBeSi.

```
6
Lattice="5.051 -1.898 0.000 5.051 1.898 0.000 -0.509 0.000 5.433" Properties=species:S:1:pos:R:3 pbc="T T T"
Y 0.000 0.000 0.000
Y 5.773 0.000 2.898
Be 2.843 0.000 1.530
Be 8.626 0.000 2.464
Si 2.844 0.000 3.850
Si 7.262 0.000 0.393
```

***

Raw formation energy for every record listed, in sequence, given in kJ per mole of atoms: -64.8 -47.8 -35.8.